First-principles (GGA+U) data for crystalline Li7Cr3W2O16 at its relaxed geometry, as listed in Alexandria via LeMat-Bulk.

Unit cell a=5.9051 b=5.9051 c=9.6928 alpha=90.03 beta=90.03 gamma=59.83
Atoms (fractional coordinates):
Li 0.0000 0.0000 0.0000
Li 0.3297 0.8387 0.6962
Li 0.3339 0.3339 0.5004
Li 0.5030 0.5030 0.1982
Li 0.6686 0.6686 0.9102
Li 0.6760 0.6760 0.4190
Li 0.8387 0.3297 0.6962
Cr 0.0161 0.5121 0.1852
Cr 0.5121 0.0161 0.1852
Cr 0.8471 0.8471 0.6688
W 0.0222 0.0222 0.4186
W 0.3340 0.3340 0.9091
O 0.0138 0.4945 0.8187
O 0.1303 0.7065 0.5491
O 0.1504 0.1504 0.5505
O 0.1708 0.6272 0.0634
O 0.1877 0.1877 0.0652
O 0.3176 0.3176 0.2947
O 0.3345 0.8450 0.3162
O 0.4945 0.0138 0.8187
O 0.4953 0.4953 0.8304
O 0.6272 0.1708 0.0634
O 0.6766 0.6766 0.1072
O 0.6872 0.6872 0.6133
O 0.7065 0.1303 0.5491
O 0.8437 0.8437 0.3023
O 0.8450 0.3345 0.3162
O 0.9688 0.9688 0.7913

**Magnetization**: 4.9 μB/cell
**Crystal system**: monoclinic
**Symmetry**: Cm (8)
**Electronic total energy**: -6.544 eV per atom